1.
A plane-wave DFT calculation with PBE-GGA was carried out for an optimized crystal structure of Ag4I2BrF.

Cell: 7.211 7.555 8.943 Å, 90.00 90.00 90.00°
Fractional positions:
Ag (0.325, 0.176, 0.000)
Ag (0.825, 0.824, 0.500)
Ag (0.373, 0.123, 0.500)
Ag (0.873, 0.877, 0.000)
Ag (0.401, 0.682, 0.732)
Ag (0.901, 0.318, 0.232)
Ag (0.901, 0.318, 0.768)
Ag (0.401, 0.682, 0.268)
I (0.505, 0.320, 0.252)
I (0.505, 0.320, 0.748)
I (0.005, 0.680, 0.752)
I (0.005, 0.680, 0.248)
Br (0.996, 0.156, 0.500)
Br (0.496, 0.844, 0.000)
F (0.495, 0.825, 0.500)
F (0.995, 0.175, 0.000)

Summary:
mass density: 5.345 Mg/m³
size of the total moment: 0.00 μB per formula unit
uncorrected energy: -2.69 eV/atom
formation energy from raw total energies: -0.44 eV per atom
space group: Pmn2_1

=====

2.
A plane-wave DFT calculation with PBE-GGA was carried out for an optimized crystal structure of Ag2IBrF.

Cell: 4.644 5.727 4.644 Å, 90.00 90.00 90.00°
Fractional positions:
I (0.500, 0.500, 0.500)
Br (0.000, 0.500, 0.000)
Ag (0.000, 0.000, 0.500)
Ag (0.500, 0.000, 0.000)
F (0.000, 0.000, 0.000)

Summary:
mass density: 5.936 Mg/m³
excess energy over the best structure of this formula in the dataset: 390 meV per atom
size of the total moment: 0.00 μB per formula unit
uncorrected energy: -2.29 eV/atom
formation energy from raw total energies: -0.13 eV per atom
space group: P4/mmm

=====

3.
A plane-wave DFT calculation with PBE-GGA was carried out for an optimized crystal structure of InAg3Br2F6.

Cell: 5.301 6.655 7.183 Å, 117.59 86.79 90.00°
Fractional positions:
In (0.500, 0.000, 0.000)
Ag (0.000, 0.500, 0.000)
Ag (0.500, 0.500, 0.500)
Ag (0.500, 0.000, 0.500)
Br (0.168, 0.687, 0.373)
Br (0.832, 0.313, 0.627)
F (0.716, 0.300, 0.135)
F (0.284, 0.700, 0.865)
F (0.698, 0.851, 0.702)
F (0.302, 0.149, 0.298)
F (0.284, 0.165, 0.865)
F (0.716, 0.835, 0.135)

Summary:
mass density: 5.277 Mg/m³
size of the total moment: 0.00 μB per formula unit
uncorrected energy: -3.47 eV/atom
formation energy from raw total energies: -1.32 eV per atom
space group: C2/m

=====

4.
A plane-wave DFT calculation with PBE-GGA was carried out for an optimized crystal structure of KAgBr2F8.

Cell: 6.165 6.619 7.890 Å, 54.55 67.00 62.24°
Fractional positions:
K (0.500, 0.500, 0.500)
Ag (0.000, 0.000, 0.000)
Br (0.265, 0.276, 0.194)
Br (0.735, 0.724, 0.806)
F (0.729, 0.011, 0.531)
F (0.746, 0.427, 0.081)
F (0.271, 0.989, 0.469)
F (0.254, 0.573, 0.919)
F (0.788, 0.781, 0.198)
F (0.212, 0.219, 0.802)
F (0.234, 0.781, 0.198)
F (0.766, 0.219, 0.802)

Summary:
mass density: 3.329 Mg/m³
size of the total moment: 2.04 μB per formula unit
uncorrected energy: -3.02 eV/atom
formation energy from raw total energies: -1.16 eV per atom
space group: C2/m

=====

5.
A plane-wave DFT calculation with PBE-GGA was carried out for an optimized crystal structure of K2AgBrF3.

Cell: 5.095 4.461 7.926 Å, 106.35 108.75 90.00°
Fractional positions:
K (0.662, 0.662, 0.323)
K (0.338, 0.338, 0.677)
Ag (0.000, 0.000, 0.000)
Br (0.500, 0.000, 0.000)
F (0.000, 0.500, 0.000)
F (0.164, 0.164, 0.328)
F (0.836, 0.836, 0.672)

Summary:
mass density: 3.292 Mg/m³
size of the total moment: 0.00 μB per formula unit
uncorrected energy: -3.51 eV/atom
formation energy from raw total energies: -1.75 eV per atom
space group: Immm

=====

6.
A plane-wave DFT calculation with PBE-GGA was carried out for an optimized crystal structure of KAgBrF6.

Cell: 4.544 6.361 6.361 Å, 120.00 90.00 90.00°
Fractional positions:
K (0.000, 0.333, 0.667)
Ag (0.500, 0.667, 0.333)
Br (0.500, 0.000, 0.000)
F (0.694, 0.710, 0.705)
F (0.694, 0.295, 0.005)
F (0.694, 0.995, 0.290)
F (0.306, 0.295, 0.290)
F (0.306, 0.710, 0.005)
F (0.306, 0.995, 0.705)

Summary:
mass density: 3.555 Mg/m³
size of the total moment: 1.02 μB per formula unit
uncorrected energy: -3.17 eV/atom
formation energy from raw total energies: -1.29 eV per atom
space group: P312

=====

7.
A plane-wave DFT calculation with PBE-GGA was carried out for an optimized crystal structure of K3Ag2Br2F4.

Cell: 4.533 4.533 12.518 Å, 100.43 100.43 90.00°
Fractional positions:
K (0.000, 0.000, 0.000)
K (0.162, 0.162, 0.324)
K (0.838, 0.838, 0.676)
Ag (0.422, 0.422, 0.844)
Ag (0.578, 0.578, 0.156)
Br (0.308, 0.308, 0.616)
Br (0.692, 0.692, 0.384)
F (0.432, 0.932, 0.863)
F (0.932, 0.432, 0.863)
F (0.068, 0.568, 0.137)
F (0.568, 0.068, 0.137)

Summary:
mass density: 3.800 Mg/m³
size of the total moment: 0.00 μB per formula unit
uncorrected energy: -3.48 eV/atom
formation energy from raw total energies: -1.68 eV per atom
space group: I4/mmm

=====

8.
A plane-wave DFT calculation with PBE-GGA was carried out for an optimized crystal structure of LiAgBrF.

Cell: 3.961 3.961 12.314 Å, 80.74 80.74 60.00°
Fractional positions:
Li (0.755, 0.755, 0.736)
Li (0.245, 0.245, 0.264)
Ag (0.000, 0.000, 0.000)
Ag (0.500, 0.500, 0.500)
Br (0.617, 0.617, 0.149)
Br (0.383, 0.383, 0.851)
F (0.198, 0.198, 0.406)
F (0.802, 0.802, 0.594)

Summary:
mass density: 4.316 Mg/m³
size of the total moment: 0.00 μB per formula unit
uncorrected energy: -3.39 eV/atom
formation energy from raw total energies: -1.32 eV per atom
space group: R-3m

=====

9.
A plane-wave DFT calculation with PBE-GGA was carried out for an optimized crystal structure of LiAg2Br2F2.

Cell: 4.077 6.627 6.977 Å, 53.27 73.01 72.09°
Fractional positions:
Li (0.000, 0.000, 0.000)
Ag (0.243, 0.268, 0.246)
Ag (0.757, 0.732, 0.754)
Br (0.604, 0.222, 0.570)
Br (0.396, 0.778, 0.430)
F (0.146, 0.707, 0.000)
F (0.854, 0.293, 0.000)

Summary:
mass density: 4.907 Mg/m³
size of the total moment: 0.00 μB per formula unit
uncorrected energy: -3.22 eV/atom
formation energy from raw total energies: -1.12 eV per atom
space group: C2/m

=====

10.
A plane-wave DFT calculation with PBE-GGA was carried out for an optimized crystal structure of MgAg2Br2F2.

Cell: 3.948 3.948 9.313 Å, 102.24 102.24 90.00°
Fractional positions:
Mg (0.000, 0.000, 0.000)
Ag (0.362, 0.362, 0.724)
Ag (0.638, 0.638, 0.276)
Br (0.161, 0.161, 0.323)
Br (0.839, 0.839, 0.677)
F (0.000, 0.500, 0.000)
F (0.500, 0.000, 0.000)

Summary:
mass density: 5.251 Mg/m³
size of the total moment: 0.00 μB per formula unit
uncorrected energy: -3.60 eV/atom
formation energy from raw total energies: -1.54 eV per atom
space group: I4/mmm